Below is a relaxed CoRhBr4 crystal, with properties calculated at the PBE level.

Calculated values
total moment: 3.45 μB/f.u.
formation energy without anion corrections: 1.455 eV/atom
energy above the lowest structure with this stoichiometry: 1.7026 eV/atom
DOS(E_F): 14.19 states/eV per cell

abc: 6.1178 6.1178 6.1178
angles: 60.00 60.00 60.00
Site moments in Bohr magnetons follow the coordinates.
Positions (direct):
Co 0.7500 0.7500 0.7500  2.15
Rh 0.0000 0.0000 0.0000  1.43
Br 0.8747 0.3751 0.3751  -0.06
Br 0.3751 0.3751 0.8747  -0.06
Br 0.3751 0.8747 0.3751  -0.06
Br 0.3751 0.3751 0.3751  -0.06